VASP calculation (PBE) on a geometry-optimized LiAs2 structure.

Cell: 8.4355 8.4355 8.4355 Å, 161.58 161.58 26.16°
Closest atoms and distances in Å follow each position.
Element x y z (fractional)
Li 0.0000 0.0000 0.0000  4 Li 2.70, 8 As 2.84
As 0.3724 0.3724 0.0000  4 As 2.70, 4 Li 2.84
As 0.6276 0.6276 0.0000  4 As 2.70, 4 Li 2.84

Computed properties:
Energy of formation ... -0.142 eV per atom
Calculated density ... 4347 kg/m³
Energy ... -3.88 eV/atom
SG ... No. 139
Total moment ... 0.00 μB/atom